# PBE-GGA La2Tb3PrDy6, optimized geometry
data_La2Tb3PrDy6
_cell_length_a 6.2389
_cell_length_b 6.2389
_cell_length_c 11.8752
_cell_angle_alpha 95.02
_cell_angle_beta 95.02
_cell_angle_gamma 120.00
_symmetry_space_group_name_H-M 'P 1'
_symmetry_Int_Tables_number 1
_symmetry_space_group_name_Hall 'P 1'
loop_
_atom_site_label
_atom_site_type_symbol
_atom_site_fract_x
_atom_site_fract_y
_atom_site_fract_z
La1 La 0.1666 0.8334 0.0000
La2 La 0.8334 0.1666 0.0000
Tb1 Tb 0.0000 0.0000 0.5000
Tb2 Tb 0.3335 0.6665 0.5000
Tb3 Tb 0.6665 0.3335 0.5000
Pr1 Pr 0.5000 0.5000 0.0000
Dy1 Dy 0.0815 0.4145 0.7451
Dy2 Dy 0.2525 0.2525 0.2548
Dy3 Dy 0.4145 0.0815 0.7451
Dy4 Dy 0.5855 0.9185 0.2549
Dy5 Dy 0.7475 0.7475 0.7452
Dy6 Dy 0.9185 0.5855 0.2549
# ΔH_f (0 K)	19	meV/atom
# space-group type	C2/m, No. 12
# total magnetic moment	0.00	Bohr magnetons per cell